# 1
This record from Alexandria via LeMat-Bulk describes a geometry-optimized AcDy5Ho2Er structure. The functional is PBE.

Unit cell a=9.774 b=9.774 c=9.774 alpha=124.82 beta=124.82 gamma=81.84
Fractional coordinates of all 18 atoms:
Ac  0.250  0.250  0.000
Ac  0.750  0.750  0.000
Dy  0.000  0.000  0.000
Dy  0.076  0.576  0.904
Dy  0.173  0.076  0.500
Dy  0.327  0.827  0.904
Dy  0.424  0.327  0.500
Dy  0.500  0.500  0.000
Dy  0.576  0.673  0.500
Dy  0.673  0.173  0.096
Dy  0.827  0.924  0.500
Dy  0.924  0.424  0.096
Ho  0.112  0.388  0.500
Ho  0.388  0.888  0.277
Ho  0.612  0.112  0.723
Ho  0.888  0.612  0.500
Er  0.250  0.750  0.500
Er  0.750  0.250  0.500

Properties
Crystal system = tetragonal

=====

# 2
This record from Alexandria via LeMat-Bulk describes a geometry-optimized AcDy4HoEr2 structure. The functional is PBE.

Unit cell a=5.053 b=5.077 c=10.160 alpha=90.00 beta=90.00 gamma=90.00
Fractional coordinates of all 8 atoms:
Ac  0.000  0.000  0.000
Dy  0.000  0.500  0.259
Dy  0.000  0.500  0.741
Dy  0.500  0.000  0.259
Dy  0.500  0.000  0.741
Ho  0.500  0.500  0.500
Er  0.000  0.000  0.500
Er  0.500  0.500  0.000

Properties
Crystal system = orthorhombic

=====

# 3
This record from Alexandria via LeMat-Bulk describes a geometry-optimized AcDy6HoEr2 structure. The functional is PBE.

Unit cell a=8.874 b=8.874 c=9.478 alpha=92.50 beta=92.50 gamma=117.45
Fractional coordinates of all 20 atoms:
Ac  0.031  0.969  0.750
Ac  0.969  0.031  0.250
Dy  0.013  0.554  0.681
Dy  0.128  0.752  0.057
Dy  0.248  0.872  0.443
Dy  0.288  0.511  0.884
Dy  0.446  0.987  0.819
Dy  0.489  0.712  0.616
Dy  0.511  0.288  0.384
Dy  0.554  0.013  0.181
Dy  0.712  0.489  0.116
Dy  0.752  0.128  0.557
Dy  0.872  0.248  0.943
Dy  0.987  0.446  0.319
Ho  0.412  0.588  0.250
Ho  0.588  0.412  0.750
Er  0.204  0.317  0.549
Er  0.317  0.204  0.049
Er  0.683  0.796  0.951
Er  0.796  0.683  0.451

Properties
Crystal system = monoclinic

=====

# 4
This record from Alexandria via LeMat-Bulk describes a geometry-optimized AcDyErIn structure. The functional is PBE.

Unit cell a=5.592 b=5.592 c=5.592 alpha=60.00 beta=60.00 gamma=60.00
Fractional coordinates of all 4 atoms:
Ac  0.000  0.000  0.000
Dy  0.750  0.750  0.750
Er  0.250  0.250  0.250
In  0.500  0.500  0.500

Properties
Crystal system = cubic

=====

# 5
This record from Alexandria via LeMat-Bulk describes a geometry-optimized AcLaDyEr structure. The functional is PBE.

Unit cell a=5.887 b=5.887 c=5.887 alpha=60.00 beta=60.00 gamma=60.00
Fractional coordinates of all 4 atoms:
Ac  0.000  0.000  0.000
La  0.500  0.500  0.500
Dy  0.750  0.750  0.750
Er  0.250  0.250  0.250

Properties
Crystal system = cubic

=====

# 6
This record from Alexandria via LeMat-Bulk describes a geometry-optimized AcLa6DyEr2 structure. The functional is PBE.

Unit cell a=9.096 b=9.096 c=9.935 alpha=93.74 beta=93.74 gamma=117.17
Fractional coordinates of all 20 atoms:
Ac  0.027  0.973  0.750
Ac  0.973  0.027  0.250
La  0.003  0.552  0.687
La  0.113  0.755  0.052
La  0.245  0.887  0.448
La  0.296  0.511  0.879
La  0.448  0.997  0.813
La  0.489  0.704  0.621
La  0.511  0.296  0.379
La  0.552  0.003  0.187
La  0.704  0.489  0.121
La  0.755  0.113  0.552
La  0.887  0.245  0.948
La  0.997  0.448  0.313
Dy  0.412  0.588  0.250
Dy  0.588  0.412  0.750
Er  0.204  0.305  0.547
Er  0.305  0.204  0.047
Er  0.695  0.796  0.953
Er  0.796  0.695  0.453

Properties
Crystal system = monoclinic

=====

# 7
This record from Alexandria via LeMat-Bulk describes a geometry-optimized Ac2LaDyEr structure. The functional is PBE.

Unit cell a=6.483 b=9.029 c=6.687 alpha=90.00 beta=90.00 gamma=90.00
Fractional coordinates of all 10 atoms:
Ac  0.250  0.203  0.217
Ac  0.250  0.797  0.217
Ac  0.750  0.203  0.783
Ac  0.750  0.797  0.783
La  0.250  0.500  0.924
La  0.750  0.500  0.076
Dy  0.250  0.000  0.691
Dy  0.750  0.000  0.309
Er  0.000  0.500  0.500
Er  0.500  0.500  0.500

Properties
Crystal system = orthorhombic

=====

# 8
This record from Alexandria via LeMat-Bulk describes a geometry-optimized AcLa2DyEr5 structure. The functional is PBE.

Unit cell a=10.043 b=10.043 c=10.043 alpha=128.16 beta=128.16 gamma=76.37
Fractional coordinates of all 18 atoms:
Ac  0.250  0.250  0.000
Ac  0.750  0.750  0.000
La  0.117  0.617  0.734
La  0.383  0.117  0.500
La  0.617  0.883  0.500
La  0.883  0.383  0.266
Dy  0.250  0.750  0.500
Dy  0.750  0.250  0.500
Er  0.000  0.000  0.000
Er  0.075  0.152  0.500
Er  0.152  0.652  0.077
Er  0.348  0.425  0.500
Er  0.425  0.925  0.077
Er  0.500  0.500  0.000
Er  0.575  0.075  0.923
Er  0.652  0.575  0.500
Er  0.848  0.348  0.923
Er  0.925  0.848  0.500

Properties
Crystal system = tetragonal

=====

# 9
This record from Alexandria via LeMat-Bulk describes a geometry-optimized AcLa6Dy2Er structure. The functional is PBE.

Unit cell a=9.109 b=9.109 c=9.943 alpha=93.74 beta=93.74 gamma=117.29
Fractional coordinates of all 20 atoms:
Ac  0.025  0.975  0.750
Ac  0.975  0.025  0.250
La  0.003  0.553  0.688
La  0.115  0.754  0.051
La  0.246  0.885  0.449
La  0.295  0.509  0.880
La  0.447  0.997  0.812
La  0.491  0.705  0.620
La  0.509  0.295  0.380
La  0.553  0.003  0.188
La  0.705  0.491  0.120
La  0.754  0.115  0.551
La  0.885  0.246  0.949
La  0.997  0.447  0.312
Dy  0.204  0.305  0.546
Dy  0.305  0.204  0.046
Dy  0.695  0.796  0.954
Dy  0.796  0.695  0.454
Er  0.412  0.588  0.250
Er  0.588  0.412  0.750

Properties
Crystal system = monoclinic

=====

# 10
This record from Alexandria via LeMat-Bulk describes a geometry-optimized AcLa2DyEr structure. The functional is PBE.

Unit cell a=7.416 b=7.416 c=7.483 alpha=90.00 beta=90.00 gamma=110.62
Fractional coordinates of all 10 atoms:
Ac  0.241  0.759  0.750
Ac  0.759  0.241  0.250
La  0.302  0.302  0.000
La  0.302  0.302  0.500
La  0.698  0.698  0.000
La  0.698  0.698  0.500
Dy  0.048  0.952  0.250
Dy  0.952  0.048  0.750
Er  0.301  0.699  0.250
Er  0.699  0.301  0.750

Properties
Crystal system = orthorhombic

=====

Uncorrected energy for the records above, in order: -76.5; -35.9; -88.2; -16.1; -17.8; -92.6; -42.0; -78.2; -92.7; -42.8 eV for the cell shown
Energy of formation for the records above, in order: 2.61; 0.35; 1.31; -0.07; 0.37; 1.09; 1.30; 2.30; 1.10; 1.72 eV/f.u.
Fermi-level density of states for the records above, in order: 1.394; 1.393; 1.499; 1.810; 1.690; 1.521; 1.195; 1.196; 1.526; 1.447 states/eV per atom